i | # NbVNi

A relaxed structure of NbVNi (PBE-GGA, Alexandria via LeMat-Bulk).

Geometry as POSCAR:
```
NbVNi
1.0
5.278 0.000 -0.003
0.000 4.198 0.000
-4.171 0.000 7.712
V Ni Nb
4 4 4
Direct
0.971 0.500 0.696
0.971 0.000 0.196
0.082 0.000 0.496
0.082 0.500 0.996
0.574 0.000 0.498
0.233 0.500 0.315
0.233 0.000 0.815
0.574 0.500 0.998
0.756 0.500 0.354
0.435 0.500 0.651
0.756 0.000 0.854
0.435 0.000 0.151
```

Its space-group type is Cm (8). Its volume is 171 Å³ per cell. As for the density of states at the Fermi level: 2.99 states/eV/f.u. The total magnetization is 0.00 μB/cell.

=====

ii | # NbVNi

A relaxed structure of NbVNi (PBE-GGA, Alexandria via LeMat-Bulk).

Geometry as POSCAR:
```
NbVNi
1.0
4.046 0.000 0.000
0.000 3.431 0.000
-2.023 0.000 6.120
Nb V Ni
2 2 2
Direct
0.094 0.750 0.189
0.906 0.250 0.811
0.412 0.750 0.823
0.588 0.250 0.177
0.255 0.250 0.509
0.745 0.750 0.491
```

Its space-group type is Cmcm (63). Its volume is 85 Å³ per cell. As for the density of states at the Fermi level: 2.50 states/eV/f.u. The total magnetization is 0.00 μB/cell.

=====

iii | # NbVNi

A relaxed structure of NbVNi (PBE-GGA, Alexandria via LeMat-Bulk).

Geometry as POSCAR:
```
NbVNi
1.0
-3.548 -3.290 0.303
2.779 -3.236 -2.602
2.762 -2.428 5.971
Ni Nb V
4 4 4
Direct
0.000 0.500 0.500
0.500 0.500 0.000
0.000 0.000 0.500
0.500 0.000 0.000
0.500 0.750 0.377
0.000 0.750 0.123
0.000 0.250 0.877
0.500 0.250 0.623
0.750 0.250 0.250
0.750 0.750 0.750
0.250 0.750 0.750
0.250 0.250 0.250
```

Its space-group type is Imma (74). Its volume is 170 Å³ per cell. As for the density of states at the Fermi level: 4.73 states/eV/f.u. The total magnetization is 0.00 μB/cell.

=====

iv | # NbVNi

A relaxed structure of NbVNi (PBE-GGA, Alexandria via LeMat-Bulk).

Geometry as POSCAR:
```
NbVNi
1.0
-2.225 1.067 1.045
-1.271 -0.366 -2.331
0.005 -5.742 2.439
V Ni Nb
1 1 1
Direct
0.268 0.268 0.537
0.626 0.626 0.252
0.956 0.956 0.911
```

Its space-group type is I4mm (107). Its volume is 43 Å³ per cell. As for the density of states at the Fermi level: 3.94 states/eV/f.u. The total magnetization is 0.00 μB/cell.

=====

The least stable of them is i.